VASP calculation (GGA+U) on a relaxed structure of LiCoPO4.

Values from the calculation:
E in eV/atom: -6.50
Space-group type: Pnma, No. 62
Relative energy among the computed polymorphs in meV per atom: 98.9
M_tot in μB per formula unit: 3.001

Unit cell a=7.918 b=6.418 c=5.416 alpha=90.00 beta=90.00 gamma=90.00
Fractional positions:
Li (0.000, 0.000, 0.000)
Li (0.000, 0.500, 0.000)
Li (0.500, 0.000, 0.500)
Li (0.500, 0.500, 0.500)
Co (0.240, 0.250, 0.402)
Co (0.260, 0.750, 0.902)
Co (0.740, 0.250, 0.098)
Co (0.760, 0.750, 0.598)
P (0.147, 0.750, 0.443)
P (0.353, 0.250, 0.943)
P (0.647, 0.750, 0.057)
P (0.853, 0.250, 0.557)
O (0.014, 0.750, 0.657)
O (0.066, 0.750, 0.185)
O (0.241, 0.057, 0.985)
O (0.241, 0.443, 0.985)
O (0.259, 0.557, 0.485)
O (0.259, 0.943, 0.485)
O (0.434, 0.250, 0.685)
O (0.486, 0.250, 0.157)
O (0.514, 0.750, 0.843)
O (0.566, 0.750, 0.315)
O (0.741, 0.057, 0.515)
O (0.741, 0.443, 0.515)
O (0.759, 0.557, 0.015)
O (0.759, 0.943, 0.015)
O (0.934, 0.250, 0.815)
O (0.986, 0.250, 0.343)